Record 1
meta-GGA SCAN Zr5Cd4, PBEsol geometry; Fermi-level density of states = 1.181 states/eV/atom; total moment = 0.01 μB/f.u.; ΔH_f (0 K) = -0.095 eV/atom; relative energy among the computed polymorphs = 0.0301 eV per atom
1.0
-4.688 4.688 2.127
4.688 -4.688 2.127
4.688 4.688 -2.127
Zr Cd
5 4
Direct
0.000 0.000 0.000 Zr
0.333 0.333 0.666 Zr
0.333 0.667 0.000 Zr
0.667 0.333 0.000 Zr
0.667 0.667 0.334 Zr
0.000 0.339 0.339 Cd
0.000 0.661 0.661 Cd
0.339 0.000 0.339 Cd
0.661 0.000 0.661 Cd

---

Record 2
meta-GGA SCAN Zr4Cd3, PBEsol geometry; Fermi-level density of states = 0.778 states/eV/atom; total moment = 0.00 μB/f.u.; ΔH_f (0 K) = -0.156 eV/atom; relative energy among the computed polymorphs = 0.0035 eV per atom
1.0
3.051 0.000 0.000
0.000 3.051 0.000
0.000 0.000 31.647
Zr Cd
8 6
Direct
0.000 0.000 0.073 Zr
0.000 0.000 0.355 Zr
0.000 0.000 0.645 Zr
0.000 0.000 0.927 Zr
0.500 0.500 0.145 Zr
0.500 0.500 0.427 Zr
0.500 0.500 0.573 Zr
0.500 0.500 0.855 Zr
0.000 0.000 0.217 Cd
0.000 0.000 0.500 Cd
0.000 0.000 0.783 Cd
0.500 0.500 0.000 Cd
0.500 0.500 0.283 Cd
0.500 0.500 0.717 Cd

---

Record 3
meta-GGA SCAN ZrCd2, PBEsol geometry; Fermi-level density of states = 0.612 states/eV/atom; total moment = 0.00 μB/f.u.; ΔH_f (0 K) = -0.187 eV/atom
1.0
3.091 0.000 0.000
0.000 3.091 0.000
0.000 0.000 12.754
Zr Cd
2 4
Direct
0.000 0.000 0.000 Zr
0.500 0.500 0.500 Zr
0.000 0.000 0.331 Cd
0.000 0.000 0.669 Cd
0.500 0.500 0.169 Cd
0.500 0.500 0.831 Cd

---

Record 4
meta-GGA SCAN Zr5Cd, PBEsol geometry; Fermi-level density of states = 0.998 states/eV/atom; total moment = 0.00 μB/f.u.; ΔH_f (0 K) = -0.011 eV/atom; relative energy among the computed polymorphs = 0.0481 eV per atom
1.0
5.162 0.000 0.000
0.000 3.108 0.000
0.000 0.000 16.245
Zr Cd
10 2
Direct
0.000 0.000 0.000 Zr
0.000 0.000 0.329 Zr
0.000 0.500 0.500 Zr
0.000 0.500 0.829 Zr
0.500 0.000 0.211 Zr
0.500 0.000 0.546 Zr
0.500 0.000 0.881 Zr
0.500 0.500 0.046 Zr
0.500 0.500 0.381 Zr
0.500 0.500 0.711 Zr
0.000 0.000 0.661 Cd
0.000 0.500 0.161 Cd

---

Record 5
meta-GGA SCAN Zr2Cd, PBEsol geometry; Fermi-level density of states = 0.914 states/eV/atom; total moment = 0.00 μB/f.u.; ΔH_f (0 K) = -0.116 eV/atom
1.0
4.263 0.000 0.000
0.000 13.718 0.000
0.000 0.000 4.342
Zr Cd
8 4
Direct
0.000 0.082 0.250 Zr
0.000 0.243 0.750 Zr
0.000 0.757 0.250 Zr
0.000 0.918 0.750 Zr
0.500 0.257 0.250 Zr
0.500 0.418 0.750 Zr
0.500 0.582 0.250 Zr
0.500 0.743 0.750 Zr
0.000 0.417 0.250 Cd
0.000 0.583 0.750 Cd
0.500 0.083 0.750 Cd
0.500 0.917 0.250 Cd

---

Record 6
meta-GGA SCAN Cs2NaCeCl6, PBEsol geometry; Fermi-level density of states = 0.839 states/eV/atom; formation energy (no corrections) = -23.37 eV per formula unit; total moment = 1.00 μB/f.u.
1.0
0.000 5.427 5.427
5.427 0.000 5.427
5.427 5.427 0.000
Cs Na Ce Cl
2 1 1 6
Direct
0.250 0.250 0.250 Cs
0.750 0.750 0.750 Cs
0.000 0.000 0.000 Na
0.500 0.500 0.500 Ce
0.250 0.250 0.750 Cl
0.250 0.750 0.250 Cl
0.250 0.750 0.750 Cl
0.750 0.250 0.250 Cl
0.750 0.250 0.750 Cl
0.750 0.750 0.250 Cl

---

Record 7
meta-GGA SCAN Cs2RbCeCl6, PBEsol geometry; Fermi-level density of states = 0.840 states/eV/atom; formation energy (no corrections) = -23.17 eV per formula unit; total moment = 1.00 μB/f.u.
1.0
0.000 5.773 5.773
5.773 0.000 5.773
5.773 5.773 0.000
Cs Rb Ce Cl
2 1 1 6
Direct
0.250 0.250 0.250 Cs
0.750 0.750 0.750 Cs
0.000 0.000 0.000 Rb
0.500 0.500 0.500 Ce
0.265 0.265 0.735 Cl
0.265 0.735 0.265 Cl
0.265 0.735 0.735 Cl
0.735 0.265 0.265 Cl
0.735 0.265 0.735 Cl
0.735 0.735 0.265 Cl

---

Record 8
meta-GGA SCAN K2CeCuCl6, PBEsol geometry; Fermi-level density of states = 0.879 states/eV/atom; formation energy (no corrections) = -18.94 eV per formula unit; total moment = 1.00 μB/f.u.
1.0
0.000 5.150 5.150
5.150 0.000 5.150
5.150 5.150 0.000
K Ce Cu Cl
2 1 1 6
Direct
0.250 0.250 0.250 K
0.750 0.750 0.750 K
0.000 0.000 0.000 Ce
0.500 0.500 0.500 Cu
0.262 0.262 0.738 Cl
0.262 0.738 0.262 Cl
0.262 0.738 0.738 Cl
0.738 0.262 0.262 Cl
0.738 0.262 0.738 Cl
0.738 0.738 0.262 Cl

---

Record 9
meta-GGA SCAN CeH14Cl3O7, PBEsol geometry; total moment = 1.00 μB/f.u.; raw total energy = -7.735 eV/atom
1.0
7.707 0.000 0.000
1.280 7.975 0.000
2.550 2.842 8.335
Ce H Cl O
2 28 6 14
Direct
0.218 0.182 0.321 Ce
0.782 0.818 0.679 Ce
0.019 0.851 0.907 H
0.089 0.532 0.106 H
0.094 0.535 0.770 H
0.115 0.973 0.130 H
0.123 0.034 0.691 H
0.210 0.576 0.306 H
0.264 0.471 0.472 H
0.270 0.176 0.650 H
0.351 0.364 0.941 H
0.382 0.892 0.648 H
0.429 0.691 0.647 H
0.444 0.954 0.892 H
0.486 0.656 0.979 H
0.487 0.861 0.232 H
0.513 0.139 0.768 H
0.514 0.344 0.021 H
0.556 0.046 0.108 H
0.571 0.309 0.353 H
0.618 0.108 0.352 H
0.649 0.636 0.059 H
0.730 0.824 0.350 H
0.736 0.529 0.528 H
0.790 0.424 0.694 H
0.877 0.966 0.309 H
0.885 0.027 0.870 H
0.906 0.465 0.230 H
0.911 0.468 0.894 H
0.981 0.149 0.093 H
0.148 0.815 0.485 Cl
0.213 0.773 0.046 Cl
0.343 0.384 0.706 Cl
0.657 0.616 0.294 Cl
0.787 0.227 0.954 Cl
0.852 0.185 0.515 Cl
0.025 0.423 0.174 O
0.049 0.070 0.173 O
0.227 0.456 0.382 O
0.240 0.083 0.614 O
0.380 0.354 0.043 O
0.448 0.988 0.187 O
0.471 0.787 0.668 O
0.529 0.213 0.332 O
0.552 0.012 0.813 O
0.620 0.646 0.957 O
0.760 0.917 0.386 O
0.773 0.544 0.618 O
0.951 0.930 0.827 O
0.975 0.577 0.826 O

---

Record 10
meta-GGA SCAN K2LiCeCl6, PBEsol geometry; Fermi-level density of states = 0.837 states/eV/atom; formation energy (no corrections) = -22.33 eV per formula unit; total moment = 1.00 μB/f.u.
1.0
0.000 5.195 5.195
5.195 0.000 5.195
5.195 5.195 0.000
K Li Ce Cl
2 1 1 6
Direct
0.250 0.250 0.250 K
0.750 0.750 0.750 K
0.000 0.000 0.000 Li
0.500 0.500 0.500 Ce
0.240 0.240 0.760 Cl
0.240 0.760 0.240 Cl
0.240 0.760 0.760 Cl
0.760 0.240 0.240 Cl
0.760 0.240 0.760 Cl
0.760 0.760 0.240 Cl

---

Record 11
meta-GGA SCAN K2NaCeCl6, PBEsol geometry; Fermi-level density of states = 0.875 states/eV/atom; formation energy (no corrections) = -22.23 eV per formula unit; total moment = 1.00 μB/f.u.
1.0
0.000 5.375 5.375
5.375 0.000 5.375
5.375 5.375 0.000
K Na Ce Cl
2 1 1 6
Direct
0.250 0.250 0.250 K
0.750 0.750 0.750 K
0.000 0.000 0.000 Na
0.500 0.500 0.500 Ce
0.249 0.249 0.751 Cl
0.249 0.751 0.249 Cl
0.249 0.751 0.751 Cl
0.751 0.249 0.249 Cl
0.751 0.249 0.751 Cl
0.751 0.751 0.249 Cl

---

Record 12
meta-GGA SCAN Rb2LiCeCl6, PBEsol geometry; Fermi-level density of states = 0.859 states/eV/atom; formation energy (no corrections) = -22.79 eV per formula unit; total moment = 1.00 μB/f.u.
1.0
0.000 5.220 5.220
5.220 0.000 5.220
5.220 5.220 0.000
Rb Li Ce Cl
2 1 1 6
Direct
0.250 0.250 0.250 Rb
0.750 0.750 0.750 Rb
0.000 0.000 0.000 Li
0.500 0.500 0.500 Ce
0.241 0.241 0.759 Cl
0.241 0.759 0.241 Cl
0.241 0.759 0.759 Cl
0.759 0.241 0.241 Cl
0.759 0.241 0.759 Cl
0.759 0.759 0.241 Cl